A geometry-optimized CsIn2Re structure. Source: the Alexandria database, functional PBE-GGA.

The space group is I4_1/amd (No. 141, origin choice 2) and the conventional cell measures 7.202, 7.202 and 14.764 Å, with angles of 90.00, 90.00 and 90.00 degrees. The inequivalent atoms are Cs at (0.000, 0.250, 0.375), In at (0.000, 0.000, 0.000) and Re at (0.000, 0.250, 0.875).

Its formation enthalpy at 0 K is 0.842 eV/atom. For the density of states at the Fermi level, the calculation gives 0.402 states/eV per atom. The calculation puts the calculated density at 4.8 Mg/m³. The value obtained for the volume is 47.86 A^3/atom. For the calculated total energy, the calculation gives -61.65 eV per cell.